1.
Below is crystalline InTcSnRh at its relaxed geometry, with properties calculated at the PBE level.

E = -6.201 eV per atom
V = 17.17 A^3/atom
Fermi-level density of states = 0.5133 states/eV/atom

Unit cell a=4.5964 b=4.5964 c=4.5964 alpha=60.00 beta=60.00 gamma=60.00
Closest atoms and distances in Å follow each position.
Element x y z (fractional)
In: 0.0000 0.0000 0.0000  4 Tc 2.81, 4 Rh 2.81
Tc: 0.7500 0.7500 0.7500  4 In 2.81, 4 Sn 2.81
Sn: 0.5000 0.5000 0.5000  4 Tc 2.81, 4 Rh 2.81
Rh: 0.2500 0.2500 0.2500  4 In 2.81, 4 Sn 2.81

***

2.
Below is crystalline Nd2Dy3Au4 at its relaxed geometry, with properties calculated at the PBE level.

E = -4.720 eV per atom
V = 26.46 A^3/atom
Fermi-level density of states = 1.0872 states/eV/atom

Unit cell a=9.5506 b=9.5506 c=7.5786 alpha=90.00 beta=90.00 gamma=136.46
Closest atoms and distances in Å follow each position.
Element x y z (fractional)
Nd: 0.0964 0.9036 0.9203  3 Au 3.11-3.22
Nd: 0.4036 0.5964 0.4203  3 Au 3.11-3.22
Nd: 0.5964 0.4036 0.5797  3 Au 3.11-3.22
Nd: 0.9036 0.0964 0.0797  3 Au 3.11-3.22
Dy: 0.0000 0.0000 0.5000  6 Au 2.85-3.00
Dy: 0.0141 0.4859 0.7500  5 Au 2.96-3.01
Dy: 0.4859 0.0141 0.2500  5 Au 2.96-3.01
Dy: 0.5000 0.5000 0.0000  6 Au 2.85-3.00
Dy: 0.5141 0.9859 0.7500  5 Au 2.96-3.01
Dy: 0.9859 0.5141 0.2500  5 Au 2.96-3.01
Au: 0.1687 0.8313 0.5307  5 Dy 2.96-3.01, 1 Nd 3.22, 2 Au 3.31
Au: 0.1836 0.3164 0.7500  3 Dy 2.85-3.01, 2 Nd 3.11
Au: 0.3164 0.1836 0.2500  3 Dy 2.85-3.01, 2 Nd 3.11
Au: 0.3313 0.6687 0.0307  5 Dy 2.96-3.01, 1 Nd 3.22, 2 Au 3.31
Au: 0.6687 0.3313 0.9693  5 Dy 2.96-3.01, 1 Nd 3.22, 2 Au 3.31
Au: 0.6836 0.8164 0.7500  3 Dy 2.85-3.01, 2 Nd 3.11
Au: 0.8164 0.6836 0.2500  3 Dy 2.85-3.01, 2 Nd 3.11
Au: 0.8313 0.1687 0.4693  5 Dy 2.96-3.01, 1 Nd 3.22, 2 Au 3.31

***

- The highest E belongs to which entry?
  Nd2Dy3Au4